(1)
First-principles (PBE) data for a relaxed Li2Cd2Sn2IrPt crystal, as listed in OQMD.

symmetry = No. 115
magnetization = 0.0 μB/cell
energy = -0.2897 Ry/atom

The structure in POSCAR format:
```
Li2Cd2Sn2IrPt
1.0
4.611 0.000 0.000
0.000 4.611 0.000
0.000 0.000 6.529
Li Cd Sn Ir Pt
2 2 2 1 1
Direct
0.000 0.000 0.000 Li
0.500 0.500 0.500 Li
0.000 0.500 0.248 Cd
0.500 0.000 0.752 Cd
0.000 0.500 0.757 Sn
0.500 0.000 0.243 Sn
0.500 0.500 0.000 Ir
0.000 0.000 0.500 Pt
```



(2)
First-principles (PBE) data for a relaxed Li4CdSn2Ir crystal, as listed in OQMD.

symmetry = No. 115
magnetization = 0.0 μB/cell
energy = -0.2600 Ry/atom

The structure in POSCAR format:
```
Li4CdSn2Ir
1.0
4.554 0.000 0.000
0.000 4.554 0.000
0.000 0.000 6.595
Li Cd Sn Ir
4 1 2 1
Direct
0.000 0.000 0.000 Li
0.000 0.500 0.231 Li
0.500 0.000 0.769 Li
0.500 0.500 0.500 Li
0.000 0.000 0.500 Cd
0.000 0.500 0.780 Sn
0.500 0.000 0.220 Sn
0.500 0.500 0.000 Ir
```



(3)
First-principles (PBE) data for a relaxed Li4CdSnIr2 crystal, as listed in OQMD.

symmetry = No. 115
magnetization = 0.0 μB/cell
energy = -0.2976 Ry/atom

The structure in POSCAR format:
```
Li4CdSnIr2
1.0
4.451 0.000 0.000
0.000 4.451 0.000
0.000 0.000 6.236
Li Cd Sn Ir
4 1 1 2
Direct
0.000 0.000 0.000 Li
0.000 0.500 0.745 Li
0.500 0.000 0.255 Li
0.500 0.500 0.500 Li
0.000 0.000 0.500 Cd
0.500 0.500 0.000 Sn
0.000 0.500 0.235 Ir
0.500 0.000 0.765 Ir
```



(4)
First-principles (PBE) data for a relaxed Li2ZnCdSn2Ir2 crystal, as listed in OQMD.

symmetry = No. 115
magnetization = 0.0 μB/cell
energy = -0.3143 Ry/atom

The structure in POSCAR format:
```
Li2ZnCdSn2Ir2
1.0
4.514 0.000 0.000
0.000 4.514 0.000
0.000 0.000 6.422
Li Zn Cd Sn Ir
2 1 1 2 2
Direct
0.000 0.500 0.238 Li
0.500 0.000 0.762 Li
0.500 0.500 0.000 Zn
0.000 0.000 0.500 Cd
0.000 0.000 0.000 Sn
0.500 0.500 0.500 Sn
0.000 0.500 0.766 Ir
0.500 0.000 0.234 Ir
```



(5)
First-principles (PBE) data for a relaxed LiCdTeIr crystal, as listed in OQMD.

symmetry = No. 216
offset from the most stable computed form = 0.000 eV per atom
magnetization = 0.0 μB/cell
energy = -0.2794 Ry/atom

The structure in POSCAR format:
```
LiCdTeIr
1.0
0.000 3.301 3.301
3.301 0.000 3.301
3.301 3.301 0.000
Li Cd Te Ir
1 1 1 1
Direct
0.000 0.000 0.000 Li
0.750 0.750 0.750 Cd
0.250 0.250 0.250 Te
0.500 0.500 0.500 Ir
```



(6)
First-principles (PBE) data for a relaxed LuCdIr crystal, as listed in OQMD.

symmetry = No. 216
DFT formation energy = 59 meV per atom
magnetization = 0.0 μB/cell
energy = -0.3453 Ry/atom

The structure in POSCAR format:
```
LuCdIr
1.0
0.000 3.273 3.273
3.273 0.000 3.273
3.273 3.273 0.000
Lu Cd Ir
1 1 1
Direct
0.000 0.000 0.000 Lu
0.750 0.750 0.750 Cd
0.250 0.250 0.250 Ir
```



(7)
First-principles (PBE) data for a relaxed Nd3Mg3Cd2Ir crystal, as listed in OQMD.

symmetry = No. 189
magnetization = 0.8 μB/cell
energy = -0.2663 Ry/atom

The structure in POSCAR format:
```
Nd3Mg3Cd2Ir
1.0
7.663 0.000 0.000
-3.832 6.637 0.000
0.000 0.000 4.490
Nd Mg Cd Ir
3 3 2 1
Direct
0.000 0.386 0.000 Nd
0.386 0.000 0.000 Nd
0.614 0.614 0.000 Nd
0.000 0.773 0.500 Mg
0.227 0.227 0.500 Mg
0.773 0.000 0.500 Mg
0.333 0.667 0.500 Cd
0.667 0.333 0.500 Cd
0.000 0.000 0.000 Ir
```



(8)
First-principles (PBE) data for a relaxed Tm3Mg3CdIr2 crystal, as listed in OQMD.

symmetry = No. 189
magnetization = 0.0 μB/cell
energy = -0.3366 Ry/atom

The structure in POSCAR format:
```
Tm3Mg3CdIr2
1.0
7.371 0.000 0.000
-3.686 6.384 0.000
0.000 0.000 4.072
Tm Mg Cd Ir
3 3 1 2
Direct
0.000 0.425 0.000 Tm
0.425 0.000 0.000 Tm
0.575 0.575 0.000 Tm
0.000 0.740 0.500 Mg
0.260 0.260 0.500 Mg
0.740 0.000 0.500 Mg
0.000 0.000 0.000 Cd
0.333 0.667 0.500 Ir
0.667 0.333 0.500 Ir
```



(9)
First-principles (PBE) data for a relaxed Y3Mg3CdIr2 crystal, as listed in OQMD.

symmetry = No. 189
magnetization = 0.0 μB/cell
energy = -0.3847 Ry/atom

The structure in POSCAR format:
```
Y3Mg3CdIr2
1.0
7.432 0.000 0.000
-3.716 6.436 0.000
0.000 0.000 4.125
Y Mg Cd Ir
3 3 1 2
Direct
0.000 0.574 0.000 Y
0.426 0.426 0.000 Y
0.574 0.000 0.000 Y
0.000 0.258 0.500 Mg
0.258 0.000 0.500 Mg
0.742 0.742 0.500 Mg
0.000 0.000 0.000 Cd
0.333 0.667 0.500 Ir
0.667 0.333 0.500 Ir
```



(10)
First-principles (PBE) data for a relaxed CdMoIr2 crystal, as listed in OQMD.

symmetry = No. 216
DFT formation energy = 449 meV per atom
magnetization = 0.6 μB/cell
energy = -0.5082 Ry/atom

The structure in POSCAR format:
```
CdMoIr2
1.0
0.000 3.178 3.178
3.178 0.000 3.178
3.178 3.178 0.000
Cd Mo Ir
1 1 2
Direct
0.000 0.000 0.000 Cd
0.750 0.750 0.750 Mo
0.250 0.250 0.250 Ir
0.500 0.500 0.500 Ir
```



(11)
First-principles (PBE) data for a relaxed NaCdMoIr crystal, as listed in OQMD.

symmetry = No. 216
offset from the most stable computed form = 0.100 eV per atom
magnetization = 0.0 μB/cell
energy = -0.3682 Ry/atom

The structure in POSCAR format:
```
NaCdMoIr
1.0
0.000 3.235 3.235
3.235 0.000 3.235
3.235 3.235 0.000
Na Cd Mo Ir
1 1 1 1
Direct
0.000 0.000 0.000 Na
0.750 0.750 0.750 Cd
0.500 0.500 0.500 Mo
0.250 0.250 0.250 Ir
```



(12)
First-principles (PBE) data for a relaxed NaCdMoIr crystal, as listed in OQMD.

symmetry = No. 216
offset from the most stable computed form = 0.000 eV per atom
magnetization = 0.0 μB/cell
energy = -0.3755 Ry/atom

The structure in POSCAR format:
```
NaCdMoIr
1.0
0.000 3.211 3.211
3.211 0.000 3.211
3.211 3.211 0.000
Na Cd Mo Ir
1 1 1 1
Direct
0.000 0.000 0.000 Na
0.250 0.250 0.250 Cd
0.750 0.750 0.750 Mo
0.500 0.500 0.500 Ir
```



Question: What is the energy in the eleventh record?
Answer: -0.3682 Ry/atom